No. 1
{
  "formula": "Na2AcPtO6",
  "functional": "GGA-PBE",
  "state": "optimized geometry",
  "sg": "No. 14",
  "lattice_angstrom": [[5.769, 0.000, -0.007], [0.000, 6.071, 0.000], [0.038, 0.000, 8.290]],
  "species": ["Ac", "Pt", "O", "O", "O", "O", "O", "O", "Na", "O", "O", "Ac", "Na", "O", "Na", "O", "O", "Pt", "Na", "O"],
  "frac_coords": [[0.000, 0.500, 0.500], [0.000, 0.500, 0.000], [0.345, 0.733, 0.420], [0.610, 0.075, 0.281], [0.155, 0.233, 0.080], [0.390, 0.925, 0.719], [0.845, 0.767, 0.920], [0.110, 0.425, 0.781], [0.996, 0.040, 0.733], [0.283, 0.665, 0.039], [0.783, 0.835, 0.539], [0.500, 0.000, 0.000], [0.504, 0.540, 0.767], [0.217, 0.165, 0.461], [0.004, 0.960, 0.267], [0.655, 0.267, 0.580], [0.717, 0.335, 0.961], [0.500, 0.000, 0.500], [0.496, 0.460, 0.233], [0.890, 0.575, 0.219]]
}

=====

No. 2
{
  "formula": "NaAc2PuO6",
  "functional": "GGA-PBE",
  "state": "optimized geometry",
  "sg": "No. 14",
  "lattice_angstrom": [[-5.098, -3.165, -0.166], [3.114, -4.897, -2.268], [1.359, -2.892, 8.111]],
  "species": ["O", "O", "O", "Na", "Ac", "Ac", "Na", "Ac", "Ac", "O", "O", "O", "O", "O", "Pu", "O", "O", "O", "O", "Pu"],
  "frac_coords": [[0.817, 0.778, 0.920], [0.716, 0.318, 0.947], [0.683, 0.278, 0.580], [0.000, 0.500, 0.500], [0.981, 0.055, 0.745], [0.519, 0.555, 0.755], [0.500, 0.000, 0.000], [0.481, 0.445, 0.245], [0.019, 0.945, 0.255], [0.183, 0.222, 0.080], [0.317, 0.722, 0.420], [0.284, 0.682, 0.053], [0.784, 0.818, 0.553], [0.216, 0.182, 0.447], [0.000, 0.500, 0.000], [0.626, 0.061, 0.271], [0.374, 0.939, 0.729], [0.874, 0.561, 0.229], [0.126, 0.439, 0.771], [0.500, 0.000, 0.500]]
}

=====

No. 3
{
  "formula": "Na3Ac2PuO6",
  "functional": "GGA-PBE",
  "state": "optimized geometry",
  "sg": "No. 12",
  "lattice_angstrom": [[6.476, -0.034, 0.031], [-3.266, 5.592, 0.031], [-1.044, -1.808, 5.669]],
  "species": ["O", "Pu", "O", "O", "Na", "O", "O", "Ac", "Na", "Ac", "O", "Na"],
  "frac_coords": [[0.751, 0.751, 0.218], [0.000, 0.000, 0.000], [0.618, 0.931, 0.783], [0.069, 0.382, 0.217], [0.853, 0.147, 0.500], [0.249, 0.249, 0.782], [0.931, 0.618, 0.783], [0.668, 0.332, 0.000], [0.147, 0.853, 0.500], [0.332, 0.668, 0.000], [0.382, 0.069, 0.217], [0.500, 0.500, 0.500]]
}

=====

No. 4
{
  "formula": "NaAcPu2O8",
  "functional": "GGA-PBE",
  "state": "optimized geometry",
  "sg": "No. 119",
  "lattice_angstrom": [[6.652, 0.318, 0.000], [-2.666, 6.103, 0.000], [-1.993, -3.210, 5.484]],
  "species": ["Pu", "O", "Na", "O", "O", "O", "Ac", "O", "Pu", "O", "O", "O"],
  "frac_coords": [[0.750, 0.250, 0.500], [0.932, 0.251, 0.319], [0.250, 0.750, 0.500], [0.861, 0.693, 0.168], [0.932, 0.613, 0.681], [0.307, 0.139, 0.832], [0.000, 0.000, 0.000], [0.525, 0.693, 0.832], [0.500, 0.500, 0.000], [0.749, 0.068, 0.681], [0.307, 0.475, 0.168], [0.387, 0.068, 0.319]]
}

=====

Values of E, in order: -5.629; -8.312; -7.140; -8.382, all in eV/atom.
Values of energy relative to the elements, uncorrected, in order: -1.376; -2.950; -2.452; -2.236, all in eV per atom.